# BaP2PdCl GGA-PBE optimized geometry
data_BaP2PdCl
_space_group_name_H-M_alt 'P 4/m m m'
_space_group_IT_number 123
_space_group_name_Hall '-P 4 2'
_cell_length_a 6.373
_cell_length_b 6.373
_cell_length_c 5.863
_cell_angle_alpha 90.00
_cell_angle_beta 90.00
_cell_angle_gamma 90.00
loop_
_atom_site_label
_atom_site_fract_x
_atom_site_fract_y
_atom_site_fract_z
_atom_site_occupancy
Ba1 0.000 0.000 0.000 1
P1 0.000 0.500 0.000 1
Pd1 0.500 0.500 0.500 1
Cl1 0.000 0.000 0.500 1
# DOS(E_F), states/eV per cell: 11.3
# DFT total energy, eV/atom: -3.0385
# Offset from the most stable computed form, meV/atom: 1463